Record 1
Entry from Alexandria: CoSbAsO6 after structural relaxation (PBE+U).

Raw total energy ... -54.710 eV/f.u.
Symmetry ... No. 163
Crystal system ... trigonal

CIF file:
```
data_CoSbAsO6
_cell_length_a 5.060
_cell_length_b 5.060
_cell_length_c 9.079
_cell_angle_alpha 90.00
_cell_angle_beta 90.00
_cell_angle_gamma 120.00
_space_group_name_H-M_alt 'P 1'
_space_group_IT_number 1
_space_group_name_Hall 'P 1'
loop_
_atom_site_label
_atom_site_type_symbol
_atom_site_fract_x
_atom_site_fract_y
_atom_site_fract_z
Co1 Co 0.000 0.000 0.000
Co2 Co 0.000 0.000 0.500
Sb1 Sb 0.333 0.667 0.250
Sb2 Sb 0.667 0.333 0.750
As1 As 0.333 0.667 0.750
As2 As 0.667 0.333 0.250
O1 O 0.021 0.367 0.634
O2 O 0.021 0.653 0.866
O3 O 0.347 0.367 0.866
O4 O 0.347 0.979 0.634
O5 O 0.367 0.021 0.134
O6 O 0.367 0.347 0.366
O7 O 0.633 0.653 0.634
O8 O 0.633 0.979 0.866
O9 O 0.653 0.021 0.366
O10 O 0.653 0.633 0.134
O11 O 0.979 0.347 0.134
O12 O 0.979 0.633 0.366
```

=====

Record 2
Entry from Alexandria: ScCoAs2O8 after structural relaxation (PBE+U).

Raw total energy ... -78.750 eV/f.u.
Symmetry ... No. 119
Crystal system ... tetragonal

CIF file:
```
data_ScCoAs2O8
_cell_length_a 5.682
_cell_length_b 5.682
_cell_length_c 5.682
_cell_angle_alpha 106.83
_cell_angle_beta 106.83
_cell_angle_gamma 114.89
_space_group_name_H-M_alt 'P 1'
_space_group_IT_number 1
_space_group_name_Hall 'P 1'
loop_
_atom_site_label
_atom_site_type_symbol
_atom_site_fract_x
_atom_site_fract_y
_atom_site_fract_z
Sc1 Sc 0.000 0.000 0.000
Co1 Co 0.250 0.750 0.500
As1 As 0.500 0.500 0.000
As2 As 0.750 0.250 0.500
O1 O 0.309 0.122 0.813
O2 O 0.309 0.496 0.187
O3 O 0.373 0.057 0.316
O4 O 0.504 0.691 0.813
O5 O 0.741 0.057 0.684
O6 O 0.878 0.691 0.187
O7 O 0.943 0.259 0.316
O8 O 0.943 0.627 0.684
```

=====

Record 3
Entry from Alexandria: SmCoAs2O8 after structural relaxation (PBE+U).

Raw total energy ... -77.319 eV/f.u.
Symmetry ... No. 119
Crystal system ... tetragonal

CIF file:
```
data_SmCoAs2O8
_cell_length_a 5.915
_cell_length_b 5.915
_cell_length_c 5.915
_cell_angle_alpha 105.90
_cell_angle_beta 105.90
_cell_angle_gamma 116.87
_space_group_name_H-M_alt 'P 1'
_space_group_IT_number 1
_space_group_name_Hall 'P 1'
loop_
_atom_site_label
_atom_site_type_symbol
_atom_site_fract_x
_atom_site_fract_y
_atom_site_fract_z
Sm1 Sm 0.000 0.000 0.000
Co1 Co 0.250 0.750 0.500
As1 As 0.500 0.500 0.000
As2 As 0.750 0.250 0.500
O1 O 0.322 0.135 0.813
O2 O 0.322 0.509 0.187
O3 O 0.383 0.056 0.327
O4 O 0.491 0.678 0.813
O5 O 0.728 0.056 0.673
O6 O 0.865 0.678 0.187
O7 O 0.944 0.272 0.327
O8 O 0.944 0.617 0.673
```

=====

Record 4
Entry from Alexandria: SrCoAs2O7 after structural relaxation (PBE+U).

Raw total energy ... -68.891 eV/f.u.
Symmetry ... No. 14
Crystal system ... monoclinic

CIF file:
```
data_SrCoAs2O7
_cell_length_a 5.606
_cell_length_b 8.519
_cell_length_c 14.363
_cell_angle_alpha 90.00
_cell_angle_beta 111.70
_cell_angle_gamma 90.00
_space_group_name_H-M_alt 'P 1'
_space_group_IT_number 1
_space_group_name_Hall 'P 1'
loop_
_atom_site_label
_atom_site_type_symbol
_atom_site_fract_x
_atom_site_fract_y
_atom_site_fract_z
Sr1 Sr 0.012 0.175 0.221
Sr2 Sr 0.012 0.325 0.721
Sr3 Sr 0.988 0.675 0.279
Sr4 Sr 0.988 0.825 0.779
Co1 Co 0.279 0.642 0.607
Co2 Co 0.279 0.858 0.107
Co3 Co 0.721 0.142 0.893
Co4 Co 0.721 0.358 0.393
As1 As 0.337 0.196 0.015
As2 As 0.337 0.304 0.515
As3 As 0.420 0.023 0.666
As4 As 0.420 0.477 0.166
As5 As 0.580 0.523 0.834
As6 As 0.580 0.977 0.334
As7 As 0.663 0.696 0.485
As8 As 0.663 0.804 0.985
O1 O 0.093 0.179 0.901
O2 O 0.093 0.321 0.401
O3 O 0.176 0.045 0.707
O4 O 0.176 0.455 0.207
O5 O 0.270 0.097 0.107
O6 O 0.270 0.403 0.607
O7 O 0.303 0.616 0.762
O8 O 0.303 0.884 0.262
O9 O 0.317 0.099 0.541
O10 O 0.317 0.401 0.041
O11 O 0.355 0.656 0.475
O12 O 0.355 0.844 0.975
O13 O 0.497 0.167 0.345
O14 O 0.497 0.333 0.845
O15 O 0.503 0.667 0.155
O16 O 0.503 0.833 0.655
O17 O 0.645 0.156 0.025
O18 O 0.645 0.344 0.525
O19 O 0.683 0.599 0.959
O20 O 0.683 0.901 0.459
O21 O 0.697 0.116 0.738
O22 O 0.697 0.384 0.238
O23 O 0.730 0.597 0.393
O24 O 0.730 0.903 0.893
O25 O 0.824 0.545 0.793
O26 O 0.824 0.955 0.293
O27 O 0.907 0.679 0.599
O28 O 0.907 0.821 0.099
```

=====

Record 5
Entry from Alexandria: TbCoAs2O8 after structural relaxation (PBE+U).

Raw total energy ... -77.582 eV/f.u.
Symmetry ... No. 119
Crystal system ... tetragonal

CIF file:
```
data_TbCoAs2O8
_cell_length_a 5.853
_cell_length_b 5.853
_cell_length_c 5.853
_cell_angle_alpha 106.15
_cell_angle_beta 106.15
_cell_angle_gamma 116.34
_space_group_name_H-M_alt 'P 1'
_space_group_IT_number 1
_space_group_name_Hall 'P 1'
loop_
_atom_site_label
_atom_site_type_symbol
_atom_site_fract_x
_atom_site_fract_y
_atom_site_fract_z
Tb1 Tb 0.000 0.000 0.000
Co1 Co 0.250 0.750 0.500
As1 As 0.500 0.500 0.000
As2 As 0.750 0.250 0.500
O1 O 0.319 0.132 0.813
O2 O 0.319 0.506 0.187
O3 O 0.381 0.056 0.325
O4 O 0.494 0.681 0.813
O5 O 0.732 0.056 0.675
O6 O 0.868 0.681 0.187
O7 O 0.944 0.268 0.325
O8 O 0.944 0.619 0.675
```

=====

Record 6
Entry from Alexandria: Tl3CoAs2O8 after structural relaxation (PBE+U).

Raw total energy ... -74.958 eV/f.u.
Symmetry ... No. 164
Crystal system ... trigonal

CIF file:
```
data_Tl3CoAs2O8
_cell_length_a 5.682
_cell_length_b 5.682
_cell_length_c 8.141
_cell_angle_alpha 90.00
_cell_angle_beta 90.00
_cell_angle_gamma 120.00
_space_group_name_H-M_alt 'P 1'
_space_group_IT_number 1
_space_group_name_Hall 'P 1'
loop_
_atom_site_label
_atom_site_type_symbol
_atom_site_fract_x
_atom_site_fract_y
_atom_site_fract_z
Tl1 Tl 0.000 0.000 0.000
Tl2 Tl 0.333 0.667 0.764
Tl3 Tl 0.667 0.333 0.236
Co1 Co 0.000 0.000 0.500
As1 As 0.333 0.667 0.291
As2 As 0.667 0.333 0.709
O1 O 0.164 0.328 0.350
O2 O 0.164 0.836 0.350
O3 O 0.328 0.164 0.650
O4 O 0.333 0.667 0.082
O5 O 0.667 0.333 0.918
O6 O 0.672 0.836 0.350
O7 O 0.836 0.164 0.650
O8 O 0.836 0.672 0.650
```

=====

Record 7
Entry from Alexandria: Tl2CoAs2O6 after structural relaxation (PBE+U).

Raw total energy ... -60.034 eV/f.u.
Symmetry ... No. 12
Crystal system ... monoclinic

CIF file:
```
data_Tl2CoAs2O6
_cell_length_a 6.812
_cell_length_b 6.812
_cell_length_c 6.315
_cell_angle_alpha 108.59
_cell_angle_beta 108.59
_cell_angle_gamma 47.88
_space_group_name_H-M_alt 'P 1'
_space_group_IT_number 1
_space_group_name_Hall 'P 1'
loop_
_atom_site_label
_atom_site_type_symbol
_atom_site_fract_x
_atom_site_fract_y
_atom_site_fract_z
Tl1 Tl 0.233 0.233 0.219
Tl2 Tl 0.767 0.767 0.781
Co1 Co 0.000 0.000 0.500
As1 As 0.480 0.480 0.791
As2 As 0.520 0.520 0.209
O1 O 0.197 0.701 0.257
O2 O 0.299 0.803 0.743
O3 O 0.335 0.335 0.657
O4 O 0.665 0.665 0.343
O5 O 0.701 0.197 0.257
O6 O 0.803 0.299 0.743
```

=====

Record 8
Entry from Alexandria: VCo3AsO8 after structural relaxation (PBE+U).

Raw total energy ... -84.620 eV/f.u.
Symmetry ... No. 12
Crystal system ... monoclinic

CIF file:
```
data_VCo3AsO8
_cell_length_a 6.560
_cell_length_b 6.560
_cell_length_c 8.352
_cell_angle_alpha 90.08
_cell_angle_beta 90.08
_cell_angle_gamma 55.25
_space_group_name_H-M_alt 'P 1'
_space_group_IT_number 1
_space_group_name_Hall 'P 1'
loop_
_atom_site_label
_atom_site_type_symbol
_atom_site_fract_x
_atom_site_fract_y
_atom_site_fract_z
V1 V 0.121 0.121 0.382
V2 V 0.879 0.879 0.618
Co1 Co 0.000 0.000 0.000
Co2 Co 0.115 0.614 0.247
Co3 Co 0.386 0.885 0.753
Co4 Co 0.500 0.500 0.500
Co5 Co 0.614 0.115 0.247
Co6 Co 0.885 0.386 0.753
As1 As 0.377 0.377 0.884
As2 As 0.623 0.623 0.116
O1 O 0.002 0.002 0.753
O2 O 0.116 0.651 0.496
O3 O 0.144 0.615 0.000
O4 O 0.249 0.249 0.273
O5 O 0.254 0.254 0.768
O6 O 0.349 0.884 0.504
O7 O 0.385 0.856 0.000
O8 O 0.496 0.496 0.751
O9 O 0.504 0.504 0.249
O10 O 0.615 0.144 0.000
O11 O 0.651 0.116 0.496
O12 O 0.746 0.746 0.232
O13 O 0.751 0.751 0.727
O14 O 0.856 0.385 0.000
O15 O 0.884 0.349 0.504
O16 O 0.998 0.998 0.247
```

=====

Record 9
Entry from Alexandria: VCoAsO6 after structural relaxation (PBE+U).

Raw total energy ... -59.321 eV/f.u.
Symmetry ... No. 163
Crystal system ... trigonal

CIF file:
```
data_VCoAsO6
_cell_length_a 4.919
_cell_length_b 4.919
_cell_length_c 8.998
_cell_angle_alpha 90.00
_cell_angle_beta 90.00
_cell_angle_gamma 120.00
_space_group_name_H-M_alt 'P 1'
_space_group_IT_number 1
_space_group_name_Hall 'P 1'
loop_
_atom_site_label
_atom_site_type_symbol
_atom_site_fract_x
_atom_site_fract_y
_atom_site_fract_z
V1 V 0.333 0.667 0.250
V2 V 0.667 0.333 0.750
Co1 Co 0.000 0.000 0.000
Co2 Co 0.000 0.000 0.500
As1 As 0.333 0.667 0.750
As2 As 0.667 0.333 0.250
O1 O 0.006 0.364 0.636
O2 O 0.006 0.643 0.864
O3 O 0.357 0.364 0.864
O4 O 0.357 0.994 0.636
O5 O 0.364 0.006 0.136
O6 O 0.364 0.357 0.364
O7 O 0.636 0.643 0.636
O8 O 0.636 0.994 0.864
O9 O 0.643 0.006 0.364
O10 O 0.643 0.636 0.136
O11 O 0.994 0.357 0.136
O12 O 0.994 0.636 0.364
```